Entry 1:
Sr4Mn5 | PBE | relaxed

ΔH_f (0 K): 0.81 eV per atom
magnetic moment: 2.16 μB/atom
Fermi-level density of states: 21.4 states/eV per cell
volume: 515.1 Å³ per cell
VASP energy: -5.0316 eV per atom

```
data_Sr4Mn5
_cell_length_a 9.4721
_cell_length_b 9.4721
_cell_length_c 6.6290
_cell_angle_alpha 90.00
_cell_angle_beta 90.00
_cell_angle_gamma 120.00
_symmetry_space_group_name_H-M 'P 63/m c m'
_symmetry_Int_Tables_number 193
_symmetry_space_group_name_Hall '-P 6c 2'
loop_
_atom_site_label
_atom_site_type_symbol
_atom_site_fract_x
_atom_site_fract_y
_atom_site_fract_z
_atom_site_occupancy
Sr1 Sr 0.0000 0.0000 0.0000 1
Sr2 Sr 0.0000 0.3651 0.2500 1
Mn1 Mn 0.0000 0.3169 0.7500 1
Mn2 Mn 0.3333 0.6667 0.0000 1
```

=====

Entry 2:
Sr2Mn | PBE | relaxed

ΔH_f (0 K): 0.51 eV per atom
magnetic moment: 1.33 μB/atom
Fermi-level density of states: 8.4 states/eV per cell
volume: 222.8 Å³ per cell
VASP energy: -3.6705 eV per atom

```
data_Sr2Mn
_cell_length_a 5.9202
_cell_length_b 5.9202
_cell_length_c 7.3396
_cell_angle_alpha 90.00
_cell_angle_beta 90.00
_cell_angle_gamma 120.00
_symmetry_space_group_name_H-M 'P 63/m m c'
_symmetry_Int_Tables_number 194
_symmetry_space_group_name_Hall '-P 6c 2c'
loop_
_atom_site_label
_atom_site_type_symbol
_atom_site_fract_x
_atom_site_fract_y
_atom_site_fract_z
_atom_site_occupancy
Sr1 Sr 0.0000 0.0000 0.0000 1
Sr2 Sr 0.3333 0.6667 0.2500 1
Mn1 Mn 0.3333 0.6667 0.7500 1
```

=====

Entry 3:
SrMn3 | PBE | relaxed

ΔH_f (0 K): 0.74 eV per atom
magnetic moment: 0.91 μB/atom
Fermi-level density of states: 3.0 states/eV per cell
volume: 84.4 Å³ per cell
VASP energy: -6.5603 eV per atom

```
data_SrMn3
_cell_length_a 3.5059
_cell_length_b 3.5059
_cell_length_c 7.9265
_cell_angle_alpha 90.00
_cell_angle_beta 90.00
_cell_angle_gamma 120.00
_symmetry_space_group_name_H-M 'P -6 m 2'
_symmetry_Int_Tables_number 187
_symmetry_space_group_name_Hall 'P -6 2'
loop_
_atom_site_label
_atom_site_type_symbol
_atom_site_fract_x
_atom_site_fract_y
_atom_site_fract_z
_atom_site_occupancy
Sr1 Sr 0.0000 0.0000 0.0000 1
Mn1 Mn 0.0000 0.0000 0.5000 1
Mn2 Mn 0.3333 0.6667 0.3296 1
```

=====

Entry 4:
Sr2Mn | PBE | relaxed

ΔH_f (0 K): 0.44 eV per atom
magnetic moment: 1.25 μB/atom
Fermi-level density of states: 13.0 states/eV per cell
volume: 465.5 Å³ per cell
VASP energy: -3.7386 eV per atom

```
data_Sr2Mn
_cell_length_a 12.966
_cell_length_b 3.974
_cell_length_c 9.191
_cell_angle_alpha 90.00
_cell_angle_beta 100.58
_cell_angle_gamma 90.00
_symmetry_space_group_name_H-M 'C 1 m 1'
_symmetry_Int_Tables_number 8
loop_
_symmetry_equiv_pos_as_xyz
'x,y,z'
'x,-y,z'
'x+1/2,y+1/2,z'
'x+1/2,-y+1/2,z'
loop_
_atom_site_label
_atom_site_type_symbol
_atom_site_fract_x
_atom_site_fract_y
_atom_site_fract_z
_atom_site_occupancy
Sr1 Sr 0.000 0.000 0.000 1
Sr2 Sr 0.058 0.000 0.489 1
Sr3 Sr 0.259 0.500 0.237 1
Sr4 Sr 0.339 0.000 0.656 1
Mn1 Mn 0.148 0.500 0.799 1
Mn2 Mn 0.265 0.000 0.955 1
```

=====

Entry 5:
SrMn4 | PBE | relaxed

ΔH_f (0 K): 1.90 eV per atom
magnetic moment: 3.38 μB/atom
Fermi-level density of states: 11.0 states/eV per cell
energy relative to the lowest polymorph listed for this composition: 6.07 eV/f.u.
volume: 286.7 Å³ per cell
VASP energy: -5.7681 eV per atom

```
data_SrMn4
_cell_length_a 6.594
_cell_length_b 6.594
_cell_length_c 6.594
_cell_angle_alpha 90.00
_cell_angle_beta 90.00
_cell_angle_gamma 90.00
_symmetry_space_group_name_H-M 'I m -3 m'
_symmetry_Int_Tables_number 229
_symmetry_space_group_name_Hall '-I 4 2 3'
loop_
_atom_site_label
_atom_site_type_symbol
_atom_site_fract_x
_atom_site_fract_y
_atom_site_fract_z
_atom_site_occupancy
Sr1 Sr 0.000 0.000 0.000 1
Mn1 Mn 0.250 0.250 0.250 1
```

=====

Entry 6:
Sr4Mn | PBE | relaxed

ΔH_f (0 K): 0.34 eV per atom
magnetic moment: 0.45 μB/atom
Fermi-level density of states: 9.6 states/eV per cell
volume: 235.4 Å³ per cell
VASP energy: -2.8406 eV per atom

```
data_Sr4Mn
_cell_length_a 6.174
_cell_length_b 6.174
_cell_length_c 6.174
_cell_angle_alpha 90.00
_cell_angle_beta 90.00
_cell_angle_gamma 90.00
_symmetry_space_group_name_H-M 'P m -3 m'
_symmetry_Int_Tables_number 221
_symmetry_space_group_name_Hall '-P 4 2 3'
loop_
_atom_site_label
_atom_site_type_symbol
_atom_site_fract_x
_atom_site_fract_y
_atom_site_fract_z
_atom_site_occupancy
Sr1 Sr 0.000 0.000 0.000 1
Sr2 Sr 0.000 0.500 0.500 1
Mn1 Mn 0.500 0.500 0.500 1
```

=====

Entry 7:
SrMn3 | PBE | relaxed

ΔH_f (0 K): 0.92 eV per atom
magnetic moment: 2.72 μB/atom
Fermi-level density of states: 8.4 states/eV per cell
volume: 159.0 Å³ per cell
VASP energy: -6.3732 eV per atom

```
data_SrMn3
_cell_length_a 6.097
_cell_length_b 8.106
_cell_length_c 3.216
_cell_angle_alpha 90.00
_cell_angle_beta 90.00
_cell_angle_gamma 90.00
_symmetry_space_group_name_H-M 'C m m m'
_symmetry_Int_Tables_number 65
_symmetry_space_group_name_Hall '-C 2 2'
loop_
_atom_site_label
_atom_site_type_symbol
_atom_site_fract_x
_atom_site_fract_y
_atom_site_fract_z
_atom_site_occupancy
Sr1 Sr 0.000 0.000 0.000 1
Mn1 Mn 0.000 0.500 0.000 1
Mn2 Mn 0.250 0.250 0.500 1
```

=====

Entry 8:
SrMn3 | PBE | relaxed

ΔH_f (0 K): 0.41 eV per atom
magnetic moment: 1.02 μB/atom
Fermi-level density of states: 9.5 states/eV per cell
volume: 171.4 Å³ per cell
VASP energy: -6.8894 eV per atom

```
data_SrMn3
_cell_length_a 4.167
_cell_length_b 6.618
_cell_length_c 6.215
_cell_angle_alpha 90.00
_cell_angle_beta 90.00
_cell_angle_gamma 90.00
_symmetry_space_group_name_H-M 'P m m n'
_symmetry_Int_Tables_number 59
loop_
_symmetry_equiv_pos_as_xyz
'x,y,z'
'-x,-y,-z'
'-x+1/2,-y+1/2,z'
'x+1/2,y+1/2,-z'
'x+1/2,-y,-z'
'-x+1/2,y,z'
'-x,y+1/2,-z'
'x,-y+1/2,z'
loop_
_atom_site_label
_atom_site_type_symbol
_atom_site_fract_x
_atom_site_fract_y
_atom_site_fract_z
_atom_site_occupancy
Sr1 Sr 0.250 0.250 0.121 1
Mn1 Mn 0.250 0.054 0.618 1
Mn2 Mn 0.250 0.750 0.401 1
```